# PBE+U Sr2VCdO5, relaxed
data_Sr2VCdO5
_space_group_name_H-M_alt 'P 1'
_space_group_IT_number 1
_space_group_name_Hall 'P 1'
_cell_length_a 3.513
_cell_length_b 7.186
_cell_length_c 10.676
_cell_angle_alpha 90.00
_cell_angle_beta 90.00
_cell_angle_gamma 104.15
loop_
_atom_site_label
_atom_site_fract_x
_atom_site_fract_y
_atom_site_fract_z
O1 0.339 0.679 0.389
O2 0.618 0.236 0.502
Cd1 0.794 0.587 0.528
Sr1 0.106 0.213 0.679
Cd2 0.206 0.413 0.028
Sr2 0.162 0.324 0.318
V1 0.479 0.958 0.440
Sr3 0.838 0.676 0.818
O3 0.720 0.439 0.171
O4 0.485 0.970 0.783
Sr4 0.894 0.787 0.179
V2 0.521 0.042 0.940
O5 0.966 0.932 0.514
O6 0.382 0.764 0.002
O7 0.034 0.068 0.014
O8 0.280 0.561 0.671
O9 0.515 0.030 0.283
O10 0.661 0.321 0.889
# E_tot, eV/cell: -111.8